## K2HgC (PBE)

Data for a relaxed structure of K2HgC.

raw total energy = -2.21 eV/atom
symmetry = I-42d, No. 122

The structure in POSCAR format:
```
K2HgC
1.0
-1.334 9.058 7.952
-11.748 0.814 -2.898
-6.996 3.582 3.994
C K Hg
2 4 2
Cartesian
-6.541 4.936 2.527
-12.643 4.666 1.812
-3.666 4.044 3.311
-9.643 5.151 2.477
-13.544 6.623 4.054
-13.303 11.089 8.255
0.000 0.000 0.000
-7.436 8.788 7.237
```